Record 1
A geometry-optimized NaCaMo2 structure, computed with PBE-GGA.

Structure (CIF):
```
data_NaCaMo2
_chemical_formula_sum 'Na4 Ca4 Mo8'
_cell_length_a 7.0604
_cell_length_b 7.0604
_cell_length_c 7.0604
_cell_angle_alpha 90.00
_cell_angle_beta 90.00
_cell_angle_gamma 90.00
_symmetry_space_group_name_H-M 'F m -3 m'
_symmetry_Int_Tables_number 225
_symmetry_space_group_name_Hall '-F 4 2 3'
loop_
_atom_site_label
_atom_site_fract_x
_atom_site_fract_y
_atom_site_fract_z
Na1 0.0000 0.0000 0.0000
Ca1 0.0000 0.0000 0.5000
Mo1 0.2500 0.2500 0.2500
```

**Formation enthalpy at 0 K**: 1.652 eV/atom
**Energy above the lowest structure with this stoichiometry**: 0.165 eV/atom

Record 2
A geometry-optimized Al2WCl structure, computed with PBE-GGA.

Structure (CIF):
```
data_Al2WCl
_chemical_formula_sum 'Al4 W2 Cl2'
_cell_length_a 2.8928
_cell_length_b 5.1514
_cell_length_c 10.2193
_cell_angle_alpha 90.00
_cell_angle_beta 90.00
_cell_angle_gamma 90.00
_symmetry_space_group_name_H-M 'C m m 2'
_symmetry_Int_Tables_number 35
loop_
_symmetry_equiv_pos_as_xyz
'x,y,z'
'-x,-y,z'
'-x,y,z'
'x,-y,z'
'x+1/2,y+1/2,z'
'-x+1/2,-y+1/2,z'
'-x+1/2,y+1/2,z'
'x+1/2,-y+1/2,z'
loop_
_atom_site_label
_atom_site_fract_x
_atom_site_fract_y
_atom_site_fract_z
Al1 0.0000 0.0000 0.0000
Al2 0.0000 0.5000 0.2331
W1 0.0000 0.0000 0.4571
Cl1 0.0000 0.5000 0.6513
```

**Energy above the lowest structure with this stoichiometry**: 0.370 eV/atom

Record 3
A geometry-optimized AlCrCu2H structure, computed with PBE-GGA.

Structure (CIF):
```
data_AlCrCu2H
_chemical_formula_sum 'Al1 Cr1 Cu2 H1'
_cell_length_a 3.8289
_cell_length_b 3.8289
_cell_length_c 3.6969
_cell_angle_alpha 90.00
_cell_angle_beta 90.00
_cell_angle_gamma 90.00
_symmetry_space_group_name_H-M 'P 4/m m m'
_symmetry_Int_Tables_number 123
_symmetry_space_group_name_Hall '-P 4 2'
loop_
_atom_site_label
_atom_site_fract_x
_atom_site_fract_y
_atom_site_fract_z
Al1 0.0000 0.0000 0.0000
Cr1 0.5000 0.5000 0.0000
Cu1 0.0000 0.5000 0.5000
H1 0.5000 0.5000 0.5000
```

**Uncorrected energy**: -24.77 eV per cell